Compound: BiTePdO6
Source: the Alexandria database
Functional: PBE-GGA
Structure: relaxed

Output
* M_tot: 0.00 μB per atom
* space-group type: No. 163
* ΔE_f (raw): -0.88 eV per atom

```
BiTePdO6
1.0
5.3691 0.0000 0.0000
-2.6845 4.6498 0.0000
0.0000 0.0000 10.0037
Bi Te Pd O
2 2 2 12
direct
0.0000 0.0000 0.0000
0.0000 0.0000 0.5000
0.3333 0.6667 0.2500
0.6667 0.3333 0.7500
0.3333 0.6667 0.7500
0.6667 0.3333 0.2500
0.0163 0.3718 0.1394
0.0163 0.6445 0.3606
0.3555 0.3718 0.3606
0.3555 0.9837 0.1394
0.3718 0.0163 0.6394
0.3718 0.3555 0.8606
0.6282 0.6445 0.1394
0.6282 0.9837 0.3606
0.6445 0.0163 0.8606
0.6445 0.6282 0.6394
0.9837 0.3555 0.6394
0.9837 0.6282 0.8606
```